The following is a PBE calculation of a relaxed ZnRe2Cl crystal, from Alexandria via LeMat-Bulk.

Computed properties:
Energy relative to the elements, uncorrected   1.042 eV/atom
DOS(E_F)   0.960 states/eV per atom
Energy above the most stable polymorph in this dataset   3.88 eV per formula unit
Electronic total energy   -23.8 eV for the cell shown

Lattice parameters (Å, degrees): 2.705 2.705 8.350 90.00 90.00 90.00
Element x y z (fractional)
Cl1 0.500 0.500 0.750
Re1 0.000 0.000 0.007
Re2 0.000 0.000 0.493
Zn1 0.500 0.500 0.250

The following is a PBE calculation of a relaxed MgScMn2As crystal, from Alexandria via LeMat-Bulk.

Computed properties:
DOS(E_F)   0.965 states/eV per atom
Electronic total energy   -24.8 eV for the cell shown

Lattice parameters (Å, degrees): 4.555 5.361 4.555 90.00 90.00 90.00
Element x y z (fractional)
Sc1 0.000 0.000 0.000
As1 0.500 0.500 0.500
Mn1 0.000 0.000 0.500
Mn2 0.500 0.000 0.000
Mg1 0.000 0.500 0.000

The following is a PBE calculation of a relaxed Nd5YEr8 crystal, from Alexandria via LeMat-Bulk.

Computed properties:
DOS(E_F)   1.374 states/eV per atom
Electronic total energy   -63.5 eV for the cell shown

Lattice parameters (Å, degrees): 8.457 8.457 8.457 110.76 106.93 110.76
Element x y z (fractional)
Nd1 0.031 0.326 0.135
Nd2 0.865 0.896 0.191
Nd3 0.809 0.674 0.705
Nd4 0.500 0.000 0.500
Nd5 0.295 0.104 0.969
Y1 0.250 0.500 0.750
Er1 0.164 0.738 0.078
Er2 0.922 0.086 0.660
Er3 0.733 0.255 0.335
Er4 0.665 0.398 0.920
Er5 0.522 0.602 0.267
Er6 0.574 0.914 0.836
Er7 0.340 0.262 0.426
Er8 0.080 0.745 0.478